# 1
Compound: Mn2CoPt
Source: Alexandria
Functional: PBE
Structure: optimized geometry

* energy of formation: 0.129 eV per formula unit
* total moment: 8.4 Bohr magnetons per cell
* N(E_F): 4.6 states/eV/f.u.
* space group: No. 166
* final energy: -7.839 eV per atom

a b c (Å): 8.377 8.377 8.377
angles (deg): 18.96 18.96 18.96
Element x y z (fractional)
Mn1 0.244 0.244 0.244
Mn2 0.756 0.756 0.756
Co1 0.500 0.500 0.500
Pt1 0.000 0.000 0.000

=====

# 2
Compound: HfSiTc2Ni
Source: Alexandria
Functional: PBE
Structure: optimized geometry

* total moment: 0.0 Bohr magnetons per cell
* formation energy (no corrections): 0.591 eV per formula unit
* N(E_F): 4.5 states/eV/f.u.
* space group: No. 123
* final energy: -8.260 eV per atom

a b c (Å): 4.472 4.472 4.080
angles (deg): 90.00 90.00 90.00
Element x y z (fractional)
Hf1 0.000 0.000 0.000
Si1 0.500 0.500 0.500
Tc1 0.000 0.500 0.500
Tc2 0.500 0.000 0.500
Ni1 0.500 0.500 0.000

=====

# 3
Compound: ErScRh4
Source: Alexandria
Functional: PBE
Structure: optimized geometry

* energy of formation: -2.149 eV per formula unit
* total moment: 0.0 Bohr magnetons per cell
* N(E_F): 5.4 states/eV/f.u.
* space group: No. 47
* final energy: -7.075 eV per atom
* relative energy among the computed polymorphs: 364 meV/atom

a b c (Å): 3.009 4.507 8.000
angles (deg): 90.00 90.00 90.00
Element x y z (fractional)
Er1 0.000 0.000 0.000
Sc1 0.500 0.500 0.500
Rh1 0.000 0.500 0.228
Rh2 0.000 0.500 0.772
Rh3 0.500 0.000 0.293
Rh4 0.500 0.000 0.707

=====

# 4
Compound: TlSn2As2
Source: Alexandria
Functional: PBE
Structure: optimized geometry

* energy of formation: 0.361 eV per formula unit
* total moment: 0.0 Bohr magnetons per cell
* N(E_F): 2.1 states/eV/f.u.
* space group: No. 127
* final energy: -3.862 eV per atom
* relative energy among the computed polymorphs: 159 meV/atom

a b c (Å): 8.321 8.321 3.724
angles (deg): 90.00 90.00 90.00
Element x y z (fractional)
Tl1 0.000 0.000 0.000
Tl2 0.500 0.500 0.000
Sn1 0.145 0.355 0.500
Sn2 0.355 0.855 0.500
Sn3 0.645 0.145 0.500
Sn4 0.855 0.645 0.500
As1 0.139 0.639 0.000
As2 0.361 0.139 0.000
As3 0.639 0.861 0.000
As4 0.861 0.361 0.000

=====

# 5
Compound: NdSmZr2
Source: Alexandria
Functional: PBE
Structure: optimized geometry

* energy of formation: 0.768 eV per formula unit
* total moment: 0.0 Bohr magnetons per cell
* N(E_F): 4.9 states/eV/f.u.
* space group: No. 123
* final energy: -6.454 eV per atom
* relative energy among the computed polymorphs: 0 meV/atom

a b c (Å): 4.735 4.735 4.956
angles (deg): 90.00 90.00 90.00
Element x y z (fractional)
Nd1 0.000 0.000 0.000
Sm1 0.500 0.500 0.000
Zr1 0.000 0.500 0.500
Zr2 0.500 0.000 0.500

=====

# 6
Compound: InGaSn2
Source: Alexandria
Functional: PBE
Structure: optimized geometry

* energy of formation: 0.238 eV per formula unit
* total moment: 0.0 Bohr magnetons per cell
* N(E_F): 2.0 states/eV/f.u.
* space group: No. 225
* final energy: -3.383 eV per atom
* relative energy among the computed polymorphs: 24 meV/atom

a b c (Å): 5.245 5.245 5.245
angles (deg): 60.00 60.00 60.00
Element x y z (fractional)
In1 0.000 0.000 0.000
Ga1 0.500 0.500 0.500
Sn1 0.250 0.250 0.250
Sn2 0.750 0.750 0.750

=====

- Which formula does entry 6 have?
  InGaSn2